# Sr2GaSnAs | the Alexandria database | PBE-GGA | optimized geometry
# - calculated formation energy (eV/atom) = -0.744
data_Sr2GaSnAs
_cell_length_a 7.706
_cell_length_b 4.520
_cell_length_c 9.648
_cell_angle_alpha 90.00
_cell_angle_beta 106.93
_cell_angle_gamma 90.00
_symmetry_space_group_name_H-M 'P 1 21/m 1'
_symmetry_Int_Tables_number 11
_symmetry_space_group_name_Hall '-P 2yb'
loop_
_atom_site_label
_atom_site_fract_x
_atom_site_fract_y
_atom_site_fract_z
_atom_site_occupancy
Sr1 0.191 0.250 0.400 1
Sr2 0.239 0.250 0.977 1
Ga1 0.491 0.750 0.266 1
Sn1 0.306 0.750 0.699 1
As1 0.165 0.750 0.176 1